# KLaMnWO6

A relaxed KLaMnWO6 crystal (GGA+U, Alexandria).

Structure (POSCAR):
```
KLaMnWO6
1.0
5.726 0.000 0.000
0.000 5.757 0.000
-0.059 0.000 8.258
K La Mn W O
2 2 2 2 12
Cartesian
1.390 0.000 0.006 K
4.277 2.879 8.252 K
1.396 5.474 4.131 La
4.270 2.595 4.127 La
1.413 2.779 6.259 Mn
4.254 5.657 1.999 Mn
1.375 2.810 2.065 W
4.291 5.689 6.193 W
0.085 4.527 6.225 O
0.276 4.399 2.009 O
0.977 2.932 4.086 O
1.676 2.776 0.210 O
2.597 1.314 2.530 O
2.754 1.135 5.726 O
2.913 4.014 2.532 O
3.069 4.192 5.728 O
3.990 5.655 8.048 O
4.689 0.054 4.172 O
5.391 1.521 6.249 O
5.582 1.648 2.033 O
```

Magnetization in μB per formula unit: 5.00
Space group: P2_1
E_tot in Ry per atom: -0.5476